The following is a DFT calculation (PBE) of ThIn2Sn after structural relaxation.

Cell lengths 5.046, 5.046, 5.890 Å; angles 64.64, 64.64, 60.00 degrees
Atoms (fractional coordinates):
Sn1 0.000 0.000 0.000
Th1 0.500 0.500 0.500
In1 0.730 0.730 0.811
In2 0.270 0.270 0.189

Total magnetization, μB per atom: 0.000
Energy of formation, meV/atom: -43
Calculated volume, A^3/atom: 28.2
Polymorph energy (0 for the lowest one), kJ/mol of atoms: 33.0

The following is a DFT calculation (PBE) of ThInSn3 after structural relaxation.

Cell lengths 6.547, 6.382, 13.351 Å; angles 90.00, 90.00, 90.00 degrees
Atoms (fractional coordinates):
Th1 0.750 0.508 0.687
Th2 0.250 0.492 0.313
Th3 0.750 0.008 0.313
Th4 0.250 0.992 0.687
In1 0.500 0.250 0.113
In2 0.000 0.750 0.887
In3 0.500 0.750 0.887
In4 0.000 0.250 0.113
Sn1 0.000 0.250 0.501
Sn2 0.500 0.750 0.499
Sn3 0.000 0.750 0.499
Sn4 0.500 0.250 0.501
Sn5 0.250 0.211 0.916
Sn6 0.750 0.789 0.084
Sn7 0.250 0.711 0.084
Sn8 0.750 0.289 0.916
Sn9 0.250 0.489 0.713
Sn10 0.750 0.511 0.287
Sn11 0.250 0.989 0.287
Sn12 0.750 0.011 0.713

Total magnetization, μB per atom: 0.000
Energy of formation, meV/atom: -249
Calculated volume, A^3/atom: 27.9

The following is a DFT calculation (PBE) of Th2InSn after structural relaxation.

Cell lengths 5.489, 5.489, 5.489 Å; angles 60.00, 60.00, 60.00 degrees
Site moments in Bohr magnetons follow the coordinates.
Atoms (fractional coordinates):
Sn1 0.500 0.500 0.500  0.01
Th1 0.250 0.250 0.250  0.09
Th2 0.750 0.750 0.750  0.09
In1 0.000 0.000 0.000  0.01

Total magnetization, μB per atom: 0.090
Energy of formation, meV/atom: -277
Calculated volume, A^3/atom: 29.2
Polymorph energy (0 for the lowest one), kJ/mol of atoms: 13.4

The following is a DFT calculation (PBE) of ThTlInSn after structural relaxation.

Cell lengths 4.732, 4.680, 4.931 Å; angles 90.00, 90.00, 90.00 degrees
Atoms (fractional coordinates):
Th1 0.000 0.500 0.500
Tl1 0.000 0.000 0.000
In1 0.500 0.500 0.000
Sn1 0.500 0.000 0.500

Total magnetization, μB per atom: 0.000
Energy of formation, meV/atom: -316
Calculated volume, A^3/atom: 27.3

The following is a DFT calculation (PBE) of TmThInSn after structural relaxation.

Cell lengths 5.393, 5.393, 5.393 Å; angles 60.00, 60.00, 60.00 degrees
Atoms (fractional coordinates):
Tm1 0.250 0.250 0.250
Sn1 0.500 0.500 0.500
Th1 0.750 0.750 0.750
In1 0.000 0.000 0.000

Total magnetization, μB per atom: 0.000
Energy of formation, meV/atom: -368
Calculated volume, A^3/atom: 27.7

The following is a DFT calculation (PBE) of YThInSn after structural relaxation.

Cell lengths 5.423, 5.423, 5.423 Å; angles 60.00, 60.00, 60.00 degrees
Atoms (fractional coordinates):
Y1 0.500 0.500 0.500
Sn1 0.250 0.250 0.250
Th1 0.000 0.000 0.000
In1 0.750 0.750 0.750

Total magnetization, μB per atom: 0.000
Energy of formation, meV/atom: -399
Calculated volume, A^3/atom: 28.2

The following is a DFT calculation (PBE) of TiIn2Sn after structural relaxation.

Cell lengths 3.160, 3.160, 11.888 Å; angles 82.36, 82.36, 60.00 degrees
Atoms (fractional coordinates):
Ti1 0.000 0.000 0.000
Sn1 0.500 0.500 0.500
In1 0.081 0.081 0.757
In2 0.919 0.919 0.243

Total magnetization, μB per atom: 0.001
Energy of formation, meV/atom: 376
Calculated volume, A^3/atom: 25.4

The following is a DFT calculation (PBE) of Ti2InSn after structural relaxation.

Cell lengths 3.117, 3.117, 9.701 Å; angles 80.75, 80.75, 60.00 degrees
Atoms (fractional coordinates):
Ti1 0.083 0.083 0.752
Ti2 0.251 0.251 0.248
In1 0.500 0.500 0.500
Sn1 0.667 0.667 0.000

Total magnetization, μB per atom: 0.000
Energy of formation, meV/atom: -70
Calculated volume, A^3/atom: 20.1

no.,final energy (eV per atom)
1,-4.268
2,-4.682
3,-5.672
4,-4.448
5,-5.027
6,-5.555
7,-3.967
8,-5.703